Entry 1:
Density functional theory data (PBE) for a relaxed structure of Pr8Ni3RuCl4.

a = 8.918 Å, b = 8.918 Å, c = 8.918 Å
α = 54.35°, β = 54.35°, γ = 54.35°
Fractional positions:
Pr  0.234  0.234  0.234
Pr  0.235  0.735  0.735
Pr  0.265  0.265  0.765
Pr  0.265  0.765  0.265
Pr  0.735  0.235  0.735
Pr  0.735  0.735  0.235
Pr  0.765  0.265  0.265
Pr  0.766  0.766  0.766
Ni  0.000  0.000  0.500
Ni  0.000  0.500  0.000
Ni  0.500  0.000  0.000
Ru  0.500  0.500  0.500
Cl  0.000  0.000  0.000
Cl  0.000  0.500  0.500
Cl  0.500  0.000  0.500
Cl  0.500  0.500  0.000

## Properties
Formation energy from raw total energies = -0.91 eV per atom
Total magnetic moment = 0.00 μB/f.u.

=====

Entry 2:
Density functional theory data (PBE) for a relaxed structure of DyNbOs2.

a = 3.216 Å, b = 3.216 Å, c = 6.968 Å
α = 90.00°, β = 90.00°, γ = 90.00°
Fractional positions:
Dy  0.000  0.000  0.000
Nb  0.000  0.000  0.500
Os  0.500  0.500  0.280
Os  0.500  0.500  0.720

## Properties
E_form = -0.206 eV/atom
Total magnetic moment = 0.00 μB/f.u.

=====

Entry 3:
Density functional theory data (PBE) for a relaxed structure of K3Pb9Au2.

a = 9.727 Å, b = 9.727 Å, c = 9.727 Å
α = 149.10°, β = 103.59°, γ = 84.66°
Fractional positions:
K  0.000  0.000  0.000
K  0.285  0.285  0.000
K  0.715  0.715  0.000
Pb  0.033  0.383  0.650
Pb  0.137  0.844  0.293
Pb  0.267  0.617  0.650
Pb  0.450  0.156  0.293
Pb  0.500  0.000  0.500
Pb  0.550  0.844  0.707
Pb  0.733  0.383  0.350
Pb  0.863  0.156  0.707
Pb  0.967  0.617  0.350
Au  0.366  0.500  0.866
Au  0.634  0.500  0.134

## Properties
E_form = -0.109 eV/atom
Total magnetic moment = 0.00 μB/f.u.

=====

Entry 4:
Density functional theory data (PBE) for a relaxed structure of SrHgSCl2.

a = 5.304 Å, b = 5.304 Å, c = 5.083 Å
α = 90.00°, β = 90.00°, γ = 90.00°
Fractional positions:
Sr  0.000  0.000  0.000
Hg  0.500  0.500  0.500
S  0.500  0.500  0.000
Cl  0.000  0.500  0.500
Cl  0.500  0.000  0.500

## Properties
Energy relative to the lowest polymorph listed for this composition = 0.000 eV/f.u.
Formation energy from raw total energies = -0.98 eV per atom
Total magnetic moment = 0.00 μB/f.u.

=====

Entry 5:
Density functional theory data (PBE) for a relaxed structure of PrScAgGe.

a = 5.067 Å, b = 5.067 Å, c = 5.067 Å
α = 60.00°, β = 60.00°, γ = 60.00°
Fractional positions:
Pr  0.000  0.000  0.000
Sc  0.500  0.500  0.500
Ag  0.750  0.750  0.750
Ge  0.250  0.250  0.250

## Properties
E_form = -0.461 eV/atom
Total magnetic moment = 0.50 μB/f.u.

=====

Entry 6:
Density functional theory data (PBE) for a relaxed structure of Ga2BiAu.

a = 8.993 Å, b = 8.993 Å, c = 8.993 Å
α = 148.24°, β = 148.24°, γ = 45.54°
Fractional positions:
Ga  0.038  0.625  0.913
Ga  0.375  0.288  0.413
Ga  0.712  0.125  0.087
Ga  0.875  0.962  0.587
Bi  0.250  0.750  0.500
Bi  0.500  0.500  0.000
Au  0.000  0.000  0.000
Au  0.750  0.250  0.500

## Properties
E_form = -0.022 eV/atom
Total magnetic moment = 0.00 μB/f.u.

=====

Entry 7:
Density functional theory data (PBE) for a relaxed structure of Fe2SeS.

a = 6.273 Å, b = 6.273 Å, c = 6.273 Å
α = 132.40°, β = 132.40°, γ = 69.60°
Fractional positions:
Fe  0.095  0.625  0.970
Fe  0.375  0.345  0.470
Fe  0.655  0.125  0.030
Fe  0.875  0.905  0.530
Se  0.250  0.750  0.500
Se  0.500  0.500  0.000
S  0.000  0.000  0.000
S  0.750  0.250  0.500

## Properties
Energy relative to the lowest polymorph listed for this composition = 1.129 eV/f.u.
Formation energy from raw total energies = -0.12 eV per atom
Total magnetic moment = 0.85 μB/f.u.

=====

Entry 8:
Density functional theory data (PBE) for a relaxed structure of HfTi5Ge6.

a = 6.405 Å, b = 6.405 Å, c = 6.407 Å
α = 99.61°, β = 99.61°, γ = 119.82°
Fractional positions:
Hf  0.000  0.000  0.000
Ti  0.163  0.837  0.500
Ti  0.332  0.668  0.000
Ti  0.500  0.500  0.500
Ti  0.668  0.332  0.000
Ti  0.837  0.163  0.500
Ge  0.086  0.427  0.257
Ge  0.258  0.258  0.748
Ge  0.427  0.086  0.257
Ge  0.573  0.914  0.743
Ge  0.742  0.742  0.252
Ge  0.914  0.573  0.743

## Properties
E_form = -0.486 eV/atom
Total magnetic moment = 0.00 μB/f.u.

=====

Entry 9:
Density functional theory data (PBE) for a relaxed structure of CaTa2Tl.

a = 5.845 Å, b = 5.845 Å, c = 5.248 Å
α = 102.73°, β = 102.73°, γ = 30.32°
Fractional positions:
Ca  0.000  0.000  0.000
Ta  0.231  0.231  0.740
Ta  0.769  0.769  0.260
Tl  0.500  0.500  0.500

## Properties
Energy relative to the lowest polymorph listed for this composition = 1.089 eV/f.u.
E_form = 0.541 eV/atom
Total magnetic moment = 0.00 μB/f.u.

=====

Entry 10:
Density functional theory data (PBE) for a relaxed structure of LaTa.

a = 5.805 Å, b = 5.805 Å, c = 8.324 Å
α = 108.73°, β = 108.73°, γ = 35.24°
Fractional positions:
La  0.000  0.000  0.000
La  0.318  0.318  0.199
La  0.636  0.636  0.397
Ta  0.318  0.318  0.699
Ta  0.654  0.654  0.808
Ta  0.982  0.982  0.590

## Properties
Energy relative to the lowest polymorph listed for this composition = 0.176 eV/f.u.
E_form = 0.367 eV/atom
Total magnetic moment = 0.00 μB/f.u.

=====

Entry 11:
Density functional theory data (PBE) for a relaxed structure of CaMo2Br.

a = 4.720 Å, b = 4.720 Å, c = 4.720 Å
α = 60.00°, β = 60.00°, γ = 60.00°
Fractional positions:
Ca  0.000  0.000  0.000
Mo  0.250  0.250  0.250
Mo  0.750  0.750  0.750
Br  0.500  0.500  0.500

## Properties
Energy relative to the lowest polymorph listed for this composition = 5.870 eV/f.u.
Formation energy from raw total energies = 1.48 eV per atom
Total magnetic moment = 0.00 μB/f.u.

=====

Entry 12:
Density functional theory data (PBE) for a relaxed structure of Ca2AuSe.

a = 4.543 Å, b = 6.043 Å, c = 6.043 Å
α = 38.36°, β = 90.00°, γ = 90.00°
Fractional positions:
Ca  0.000  0.000  0.000
Ca  0.500  0.265  0.265
Au  0.000  0.738  0.738
Se  0.500  0.530  0.530

## Properties
Formation energy from raw total energies = -1.21 eV per atom
Total magnetic moment = 0.00 μB/f.u.